Density functional theory data (PBE) for HoSbN2O after structural relaxation.

Unit cell a=5.582 b=5.669 c=9.731 alpha=74.28 beta=73.34 gamma=60.61
Positions (direct):
Ho 0.653 0.622 0.128
Ho 0.843 0.875 0.377
Ho 0.159 0.126 0.623
Ho 0.355 0.373 0.872
N 0.249 0.627 0.113
N 0.649 0.023 0.161
N 0.839 0.481 0.338
N 0.414 0.267 0.410
N 0.578 0.735 0.595
N 0.739 0.133 0.636
N 0.164 0.511 0.661
N 0.907 0.759 0.911
O 0.091 0.225 0.085
O 0.256 0.881 0.368
O 0.329 0.986 0.846
O 0.761 0.372 0.879
Sb 0.988 0.988 0.003
Sb 0.249 0.271 0.250
Sb 0.510 0.484 0.506
Sb 0.766 0.759 0.739

Summary:
VASP energy: -6.991 eV per atom

=====

Density functional theory data (PBE) for HoSbNO after structural relaxation.

Unit cell a=4.896 b=4.896 c=5.026 alpha=90.00 beta=90.00 gamma=90.00
Positions (direct):
Ho 0.750 0.250 0.500
Ho 0.250 0.750 0.500
N 0.750 0.750 0.414
N 0.250 0.250 0.586
O 0.750 0.250 0.000
O 0.250 0.750 0.000
Sb 0.250 0.250 0.000
Sb 0.750 0.750 0.000

Summary:
relative energy among the computed polymorphs: 0.2023 eV per atom
VASP energy: -6.559 eV per atom

=====

Density functional theory data (PBE) for HoSbN2O after structural relaxation.

Unit cell a=5.618 b=5.618 c=5.608 alpha=119.66 beta=119.66 gamma=90.26
Positions (direct):
Ho 0.226 0.226 0.457
Ho 0.774 0.774 0.543
N 0.813 0.187 0.000
N 0.187 0.813 0.000
N 0.365 0.365 0.138
N 0.635 0.635 0.862
O 0.827 0.173 0.500
O 0.173 0.827 0.500
Sb 0.500 0.000 0.000
Sb 0.000 0.500 0.000

Summary:
VASP energy: -6.984 eV per atom

=====

Density functional theory data (PBE) for HoSbN2O after structural relaxation.

Unit cell a=5.472 b=5.577 c=5.916 alpha=91.61 beta=116.15 gamma=119.36
Positions (direct):
Ho 0.718 0.360 0.093
Ho 0.262 0.631 0.901
N 0.230 0.450 0.258
N 0.484 0.029 0.276
N 0.173 0.200 0.728
N 0.767 0.557 0.734
O 0.827 0.785 0.259
O 0.535 0.967 0.756
Sb 0.312 0.176 0.454
Sb 0.692 0.844 0.542

Summary:
VASP energy: -7.057 eV per atom

=====

Density functional theory data (PBE) for HoSbNO after structural relaxation.

Unit cell a=3.637 b=5.698 c=6.678 alpha=90.00 beta=90.00 gamma=90.00
Positions (direct):
Ho 0.000 0.517 0.346
Ho 0.000 0.017 0.654
N 0.000 0.921 0.325
N 0.000 0.421 0.675
O 0.500 0.318 0.319
O 0.500 0.818 0.681
Sb 0.500 0.998 0.150
Sb 0.500 0.498 0.850

Summary:
relative energy among the computed polymorphs: 0.0401 eV per atom
VASP energy: -6.721 eV per atom

=====

Density functional theory data (PBE) for HoSbN2O after structural relaxation.

Unit cell a=3.565 b=6.364 c=5.911 alpha=90.00 beta=90.00 gamma=90.00
Positions (direct):
Ho 0.000 0.152 0.439
Ho 0.000 0.848 0.939
N 0.000 0.193 0.044
N 0.500 0.392 0.333
N 0.000 0.807 0.544
N 0.500 0.608 0.833
O 0.500 0.886 0.206
O 0.500 0.114 0.706
Sb 0.500 0.673 0.478
Sb 0.500 0.327 0.978

Summary:
VASP energy: -7.057 eV per atom

=====

Density functional theory data (PBE) for HoSbNO after structural relaxation.

Unit cell a=3.779 b=6.315 c=6.426 alpha=90.00 beta=90.00 gamma=90.00
Positions (direct):
Ho 0.500 0.984 0.190
Ho 0.500 0.484 0.810
N 0.000 0.913 0.382
N 0.000 0.413 0.618
O 0.500 0.288 0.069
O 0.500 0.788 0.931
Sb 0.000 0.569 0.330
Sb 0.000 0.069 0.670

Summary:
relative energy among the computed polymorphs: 0.0000 eV per atom
VASP energy: -6.761 eV per atom

=====

Density functional theory data (PBE) for HoScNO after structural relaxation.

Unit cell a=3.948 b=4.735 c=6.290 alpha=90.00 beta=90.00 gamma=90.00
Positions (direct):
Ho 0.000 0.438 0.326
Ho 0.000 0.938 0.674
N 0.000 0.938 0.303
N 0.000 0.438 0.697
O 0.500 0.439 0.150
O 0.500 0.939 0.850
Sc 0.500 0.938 0.183
Sc 0.500 0.438 0.817

Summary:
relative energy among the computed polymorphs: 0.0823 eV per atom
VASP energy: -8.322 eV per atom

=====

> Look up the VASP energy of the sixth one.

-7.057 eV per atom